Computed, not measured: crystalline La12Co5Bi at its relaxed geometry at the GGA-PBE level of DFT.

The structure in POSCAR format:
```
La12Co5Bi
1.0
8.1532 0.0450 -3.1951
-4.1859 7.2528 -2.5613
-0.0838 -0.0450 8.7565
La Co Bi
12 5 1
Direct
0.8151 0.6257 0.8106
0.1850 0.3743 0.1894
0.3160 0.3265 0.6426
0.8151 0.0044 0.1894
0.8646 0.1765 0.6881
0.5116 0.8235 0.6881
0.6840 0.6735 0.3574
0.6840 0.3265 0.0105
0.1354 0.8235 0.3119
0.4884 0.1765 0.3119
0.3160 0.6735 0.9895
0.1850 0.9956 0.8106
0.3604 0.3604 0.0000
0.5000 0.8693 0.3693
0.5000 0.1307 0.6307
0.0000 0.0000 0.0000
0.6396 0.6396 0.0000
0.0000 0.5000 0.5000
```

Summary:
DOS(E_F)	15.1	states/eV/cell
total magnetization	0.00	μB per cell
space group	Immm, No. 71
energy of formation from the pure elements	-0.23	eV/atom

***

Computed, not measured: crystalline LaCo2Bi2 at its relaxed geometry at the GGA-PBE level of DFT.

The structure in POSCAR format:
```
LaCo2Bi2
1.0
-4.4193 4.6685 3.9200
0.5522 -4.5152 5.9999
3.1878 2.0001 1.2118
Co Bi La
4 4 2
Direct
0.1079 0.3921 0.0000
0.8921 0.6079 0.0000
0.6079 0.1079 0.0000
0.3921 0.8921 0.0000
0.3302 0.1698 0.5000
0.8302 0.3302 0.5000
0.6698 0.8302 0.5000
0.1698 0.6698 0.5000
0.0000 0.0000 0.0000
0.5000 0.5000 0.0000
```

Summary:
DOS(E_F)	14.5	states/eV/cell
total magnetization	5.71	μB per cell
space group	P4/mbm, No. 127
relative energy among the computed polymorphs	135	meV per atom
energy of formation from the pure elements	0.04	eV/atom

***

Computed, not measured: crystalline La3CoBi at its relaxed geometry at the GGA-PBE level of DFT.

The structure in POSCAR format:
```
La3CoBi
1.0
5.9088 -0.0001 -0.0001
0.0001 7.4341 -0.0040
0.0000 -3.7128 6.6878
La Co Bi
6 2 2
Direct
0.5996 0.2343 0.4050
0.0996 0.0546 0.5913
0.5996 0.7074 0.8965
0.0996 0.5277 0.0828
0.5996 0.6885 0.4048
0.0996 0.0735 0.0830
0.8496 0.8810 0.2439
0.3496 0.8810 0.2439
0.0996 0.5517 0.5853
0.5996 0.2103 0.9025
```

Summary:
DOS(E_F)	8.1	states/eV/cell
total magnetization	0.00	μB per cell
space group	Cmcm, No. 63
relative energy among the computed polymorphs	11	meV per atom
energy of formation from the pure elements	-0.48	eV/atom